No. 1
# LiY2W PBE relaxed
# Final energy   -25.52 eV per formula unit
# D(E_F)   8.56 states/eV/cell
data_LiY2W
_symmetry_space_group_name_H-M 'C 1 2/m 1'
_symmetry_Int_Tables_number 12
_cell_length_a 9.4829
_cell_length_b 3.0620
_cell_length_c 6.5469
_cell_angle_alpha 90.00
_cell_angle_beta 96.84
_cell_angle_gamma 90.00
loop_
_symmetry_equiv_pos_as_xyz
'x,y,z'
'-x,-y,-z'
'-x,y,-z'
'x,-y,z'
'x+1/2,y+1/2,z'
'-x+1/2,-y+1/2,-z'
'-x+1/2,y+1/2,-z'
'x+1/2,-y+1/2,z'
loop_
_atom_site_label
_atom_site_type_symbol
_atom_site_fract_x
_atom_site_fract_y
_atom_site_fract_z
_atom_site_occupancy
Li1 Li 0.0000 0.0000 0.0000 1
Y1 Y 0.2426 0.0000 0.7311 1
W1 W 0.0000 0.5000 0.5000 1



No. 2
# LiY2W PBE relaxed
# Final energy   -25.51 eV per formula unit
# D(E_F)   8.45 states/eV/cell
data_LiY2W
_symmetry_space_group_name_H-M 'I -4 m 2'
_symmetry_Int_Tables_number 119
_symmetry_space_group_name_Hall 'I -4 -2'
_cell_length_a 4.3461
_cell_length_b 4.3461
_cell_length_c 9.5073
_cell_angle_alpha 90.00
_cell_angle_beta 90.00
_cell_angle_gamma 90.00
loop_
_atom_site_label
_atom_site_type_symbol
_atom_site_fract_x
_atom_site_fract_y
_atom_site_fract_z
_atom_site_occupancy
Li1 Li 0.0000 0.0000 0.0000 1
Y1 Y 0.0000 0.0000 0.5000 1
Y2 Y 0.0000 0.5000 0.2500 1
W1 W 0.0000 0.5000 0.7500 1



No. 3
# LiYW PBE relaxed
# Final energy   -19.33 eV per formula unit
# D(E_F)   4.88 states/eV/cell
data_LiYW
_symmetry_space_group_name_H-M 'I m m 2'
_symmetry_Int_Tables_number 44
_cell_length_a 2.9600
_cell_length_b 3.9696
_cell_length_c 9.8809
_cell_angle_alpha 90.00
_cell_angle_beta 90.00
_cell_angle_gamma 90.00
loop_
_symmetry_equiv_pos_as_xyz
'x,y,z'
'-x,-y,z'
'-x,y,z'
'x,-y,z'
'x+1/2,y+1/2,z+1/2'
'-x+1/2,-y+1/2,z+1/2'
'-x+1/2,y+1/2,z+1/2'
'x+1/2,-y+1/2,z+1/2'
loop_
_atom_site_label
_atom_site_type_symbol
_atom_site_fract_x
_atom_site_fract_y
_atom_site_fract_z
_atom_site_occupancy
Li1 Li 0.0000 0.0000 0.0000 1
Y1 Y 0.0000 0.0000 0.3127 1
W1 W 0.0000 0.0000 0.6318 1



No. 4
# LiY2W PBE relaxed
# Final energy   -26.42 eV per formula unit
# D(E_F)   4.26 states/eV/cell
data_LiY2W
_symmetry_space_group_name_H-M 'P 4/m m m'
_symmetry_Int_Tables_number 123
_symmetry_space_group_name_Hall '-P 4 2'
_cell_length_a 3.4637
_cell_length_b 3.4637
_cell_length_c 8.2395
_cell_angle_alpha 90.00
_cell_angle_beta 90.00
_cell_angle_gamma 90.00
loop_
_atom_site_label
_atom_site_type_symbol
_atom_site_fract_x
_atom_site_fract_y
_atom_site_fract_z
_atom_site_occupancy
Li1 Li 0.0000 0.0000 0.0000 1
Y1 Y 0.5000 0.5000 0.2872 1
W1 W 0.0000 0.0000 0.5000 1



No. 5
# LiY2W PBE relaxed
# Final energy   -26.05 eV per formula unit
# D(E_F)   4.62 states/eV/cell
data_LiY2W
_symmetry_space_group_name_H-M 'C 1 m 1'
_symmetry_Int_Tables_number 8
_cell_length_a 10.9985
_cell_length_b 3.1875
_cell_length_c 5.4157
_cell_angle_alpha 90.00
_cell_angle_beta 105.65
_cell_angle_gamma 90.00
loop_
_symmetry_equiv_pos_as_xyz
'x,y,z'
'x,-y,z'
'x+1/2,y+1/2,z'
'x+1/2,-y+1/2,z'
loop_
_atom_site_label
_atom_site_type_symbol
_atom_site_fract_x
_atom_site_fract_y
_atom_site_fract_z
_atom_site_occupancy
Li1 Li 0.0000 0.0000 0.0000 1
Y1 Y 0.2364 0.0000 0.8252 1
Y2 Y 0.4403 0.0000 0.4483 1
W1 W 0.1934 0.5000 0.3134 1



No. 6
# LiYW2 PBE relaxed
# Final energy   -29.41 eV per formula unit
# D(E_F)   27.58 states/eV/cell
data_LiYW2
_symmetry_space_group_name_H-M 'F m -3 m'
_symmetry_Int_Tables_number 225
_symmetry_space_group_name_Hall '-F 4 2 3'
_cell_length_a 6.5929
_cell_length_b 6.5929
_cell_length_c 6.5929
_cell_angle_alpha 90.00
_cell_angle_beta 90.00
_cell_angle_gamma 90.00
loop_
_atom_site_label
_atom_site_type_symbol
_atom_site_fract_x
_atom_site_fract_y
_atom_site_fract_z
_atom_site_occupancy
Li1 Li 0.0000 0.0000 0.0000 1
Y1 Y 0.0000 0.0000 0.5000 1
W1 W 0.2500 0.2500 0.2500 1



| no. | total magnetization (μB/cell) | ΔH_f (0 K) (meV per atom) |
| --- | --- | --- |
| 1 | 0.00 | 570 |
| 2 | 0.00 | 570 |
| 3 | 0.00 | 668 |
| 4 | 0.00 | 344 |
| 5 | 0.00 | 437 |
| 6 | 0.00 | 1219 |